First-principles (PBE-GGA) data for a relaxed Ho6CdAu5 crystal, as listed in the Alexandria database.

Volume   281 Å³ per cell
Symmetry   C2/m
Calculated total energy   -4.51 eV/atom
Total magnetic moment   0.00 Bohr magnetons per cell
Theoretical density   12.33 g/cm3

a = 8.847 Å, b = 8.847 Å, c = 5.093 Å
α = 106.71°, β = 106.71°, γ = 120.29°
Sites, in units of the cell vectors:
1 Ho 0.075 0.416 0.746
2 Ho 0.240 0.240 0.240
3 Ho 0.416 0.075 0.746
4 Ho 0.584 0.925 0.254
5 Ho 0.760 0.760 0.760
6 Ho 0.925 0.584 0.254
7 Cd 0.500 0.500 0.000
8 Au 0.000 0.000 0.500
9 Au 0.168 0.832 0.000
10 Au 0.345 0.655 0.500
11 Au 0.655 0.345 0.500
12 Au 0.832 0.168 0.000